Record 1
# Pd2Au7

Crystalline Pd2Au7 at its relaxed geometry (PBE, the Alexandria database).

```
data_Pd2Au7
_space_group_name_H-M_alt 'P 1'
_space_group_IT_number 1
_cell_length_a 5.041
_cell_length_b 5.041
_cell_length_c 7.126
_cell_angle_alpha 90.00
_cell_angle_beta 90.00
_cell_angle_gamma 120.00
loop_
_space_group_symop_operation_xyz
'x,y,z'
loop_
_atom_site_label
_atom_site_type_symbol
_atom_site_fract_x
_atom_site_fract_y
_atom_site_fract_z
_atom_site_occupancy
Au1 Au 0.000 0.664 0.329 1
Au2 Au 0.336 0.000 0.671 1
Au3 Au 0.664 0.000 0.329 1
Au4 Au 0.336 0.336 0.329 1
Au5 Au 0.664 0.664 0.671 1
Au6 Au 0.000 0.336 0.671 1
Au7 Au 0.000 0.000 0.000 1
Pd1 Pd 0.667 0.333 0.000 1
Pd2 Pd 0.333 0.667 0.000 1
```

Calculated values
- Symmetry: P-31m, No. 162
- VASP energy: -33.7 eV for the cell shown
- Formation enthalpy at 0 K: -0.044 eV/atom

***

Record 2
# Pd3Au

Crystalline Pd3Au at its relaxed geometry (PBE, the Alexandria database).

```
data_Pd3Au
_space_group_name_H-M_alt 'P 1'
_space_group_IT_number 1
_cell_length_a 4.505
_cell_length_b 4.505
_cell_length_c 4.505
_cell_angle_alpha 60.00
_cell_angle_beta 60.00
_cell_angle_gamma 60.00
loop_
_space_group_symop_operation_xyz
'x,y,z'
loop_
_atom_site_label
_atom_site_type_symbol
_atom_site_fract_x
_atom_site_fract_y
_atom_site_fract_z
_atom_site_occupancy
Pd1 Pd 0.000 0.000 0.000 1
Pd2 Pd 0.750 0.750 0.750 1
Pd3 Pd 0.250 0.250 0.250 1
Au1 Au 0.500 0.500 0.500 1
```

Calculated values
- E above lowest polymorph: 63.0 meV/atom
- Symmetry: Fm-3m, No. 225
- VASP energy: -18.8 eV for the cell shown
- Formation enthalpy at 0 K: 0.014 eV/atom

***

Record 3
# PdAu2

Crystalline PdAu2 at its relaxed geometry (PBE, the Alexandria database).

```
data_PdAu2
_space_group_name_H-M_alt 'P 1'
_space_group_IT_number 1
_cell_length_a 2.895
_cell_length_b 2.895
_cell_length_c 14.280
_cell_angle_alpha 84.35
_cell_angle_beta 84.35
_cell_angle_gamma 59.88
loop_
_space_group_symop_operation_xyz
'x,y,z'
loop_
_atom_site_label
_atom_site_type_symbol
_atom_site_fract_x
_atom_site_fract_y
_atom_site_fract_z
_atom_site_occupancy
Pd1 Pd 0.500 0.500 0.000 1
Pd2 Pd 0.000 0.000 0.500 1
Au1 Au 0.614 0.614 0.663 1
Au2 Au 0.777 0.777 0.164 1
Au3 Au 0.223 0.223 0.836 1
Au4 Au 0.386 0.386 0.337 1
```

Calculated values
- E above lowest polymorph: 41.7 meV/atom
- Symmetry: C2/m, No. 12
- VASP energy: -23.7 eV for the cell shown
- Formation enthalpy at 0 K: -0.038 eV/atom

***

Record 4
# Pd5Au

Crystalline Pd5Au at its relaxed geometry (PBE, the Alexandria database).

```
data_Pd5Au
_space_group_name_H-M_alt 'P 1'
_space_group_IT_number 1
_cell_length_a 4.894
_cell_length_b 4.865
_cell_length_c 4.874
_cell_angle_alpha 60.06
_cell_angle_beta 80.51
_cell_angle_gamma 70.70
loop_
_space_group_symop_operation_xyz
'x,y,z'
loop_
_atom_site_label
_atom_site_type_symbol
_atom_site_fract_x
_atom_site_fract_y
_atom_site_fract_z
_atom_site_occupancy
Pd1 Pd 0.000 0.639 0.723 1
Pd2 Pd 0.000 0.306 0.388 1
Pd3 Pd 0.500 0.804 0.392 1
Pd4 Pd 0.500 0.140 0.719 1
Pd5 Pd 0.500 0.472 0.056 1
Au1 Au 0.000 0.972 0.056 1
```

Calculated values
- Symmetry: C2/m, No. 12
- VASP energy: -29.3 eV for the cell shown
- Formation enthalpy at 0 K: -0.016 eV/atom

***

Record 5
# PdAu3

Crystalline PdAu3 at its relaxed geometry (PBE, the Alexandria database).

```
data_PdAu3
_space_group_name_H-M_alt 'P 1'
_space_group_IT_number 1
_cell_length_a 4.106
_cell_length_b 4.106
_cell_length_c 4.106
_cell_angle_alpha 90.00
_cell_angle_beta 90.00
_cell_angle_gamma 90.00
loop_
_space_group_symop_operation_xyz
'x,y,z'
loop_
_atom_site_label
_atom_site_type_symbol
_atom_site_fract_x
_atom_site_fract_y
_atom_site_fract_z
_atom_site_occupancy
Au1 Au 0.500 0.500 0.000 1
Au2 Au 0.000 0.500 0.500 1
Au3 Au 0.500 0.000 0.500 1
Pd1 Pd 0.000 0.000 0.000 1
```

Calculated values
- Symmetry: Pm-3m, No. 221
- VASP energy: -15.3 eV for the cell shown
- Formation enthalpy at 0 K: -0.070 eV/atom

***

Record 6
# Pd2Au

Crystalline Pd2Au at its relaxed geometry (PBE, the Alexandria database).

```
data_Pd2Au
_space_group_name_H-M_alt 'P 1'
_space_group_IT_number 1
_cell_length_a 2.841
_cell_length_b 4.014
_cell_length_c 4.926
_cell_angle_alpha 114.04
_cell_angle_beta 106.76
_cell_angle_gamma 90.00
loop_
_space_group_symop_operation_xyz
'x,y,z'
loop_
_atom_site_label
_atom_site_type_symbol
_atom_site_fract_x
_atom_site_fract_y
_atom_site_fract_z
_atom_site_occupancy
Au1 Au 0.000 0.500 0.000 1
Pd1 Pd 0.332 0.832 0.664 1
Pd2 Pd 0.668 0.168 0.336 1
```

Calculated values
- E above lowest polymorph: 0.0 meV/atom
- Symmetry: Immm, No. 71
- VASP energy: -13.8 eV for the cell shown
- Formation enthalpy at 0 K: -0.046 eV/atom

***

Number 1: theoretical density 16.9 g cm⁻³. Number 2: theoretical density 13.3 g cm⁻³. Number 3: theoretical density 16.2 g cm⁻³. Number 4: theoretical density 12.8 g cm⁻³. Number 5: theoretical density 16.7 g cm⁻³. Number 6: theoretical density 14.0 g cm⁻³.